Computed, not measured: an optimized crystal structure of LiReRuW at the PBE level of DFT.

Values from the calculation:
ΔE_f   0.158 eV per atom
M_tot   0.00 μB/f.u.
Volume   228 Å³ per cell

Geometry as CIF:
```
data_LiReRuW
_chemical_formula_sum 'Li4 Re4 Ru4 W4'
_space_group_name_H-M_alt 'F -4 3 m'
_space_group_IT_number 216
_space_group_name_Hall 'F -4 2 3'
_cell_length_a 6.106
_cell_length_b 6.106
_cell_length_c 6.106
_cell_angle_alpha 90.00
_cell_angle_beta 90.00
_cell_angle_gamma 90.00
loop_
_atom_site_label
_atom_site_type_symbol
_atom_site_fract_x
_atom_site_fract_y
_atom_site_fract_z
Li1 Li 0.000 0.000 0.000
Re1 Re 0.250 0.250 0.250
Ru1 Ru 0.250 0.250 0.750
W1 W 0.000 0.000 0.500
```